The following is a DFT calculation (PBE) of B7C5 after structural relaxation.

Summary:
polymorph energy (0 for the lowest one)	262	meV per atom
formation enthalpy at 0 K	0.43	eV/atom

abc: 7.3560 7.3560 4.7356
angles: 108.58 108.58 20.03
Positions (direct):
B: 0.0000 0.0000 0.0000
B: 0.1327 0.1327 0.4553
B: 0.2924 0.2924 0.6639
B: 0.4257 0.4257 0.1037
B: 0.5000 0.5000 0.4967
B: 0.8069 0.8069 0.4455
B: 0.9288 0.9288 0.6177
C: 0.1152 0.1152 0.1011
C: 0.3091 0.3091 0.9986
C: 0.6144 0.6144 0.6266
C: 0.6526 0.6526 0.9785
C: 0.7674 0.7674 0.0979

***

The following is a DFT calculation (PBE) of B3C after structural relaxation.

Summary:
polymorph energy (0 for the lowest one)	72	meV per atom
formation enthalpy at 0 K	0.31	eV/atom

abc: 4.8198 2.7711 6.4548
angles: 90.00 93.24 90.00
Positions (direct):
B: 0.0000 0.0000 0.0000
B: 0.0116 0.5000 0.3908
B: 0.1253 0.5000 0.1501
B: 0.1760 0.0000 0.2763
B: 0.3996 0.0000 0.7204
B: 0.5510 0.0000 0.2670
B: 0.6239 0.5000 0.9232
B: 0.6645 0.5000 0.4472
B: 0.9358 0.5000 0.6658
C: 0.0787 0.0000 0.7579
C: 0.5638 0.5000 0.6760
C: 0.6525 0.0000 0.0369

***

The following is a DFT calculation (PBE) of B7C5 after structural relaxation.

Summary:
polymorph energy (0 for the lowest one)	200	meV per atom
formation enthalpy at 0 K	0.36	eV/atom

abc: 4.8956 2.5881 6.4500
angles: 90.00 105.92 90.00
Positions (direct):
B: 0.0000 0.0000 0.0000
B: 0.0059 0.0000 0.2854
B: 0.4682 0.5000 0.1190
B: 0.6580 0.0000 0.7831
B: 0.7059 0.0000 0.0858
B: 0.7759 0.5000 0.3068
B: 0.8045 0.5000 0.6281
C: 0.1641 0.5000 0.7187
C: 0.1673 0.5000 0.9582
C: 0.3141 0.0000 0.6671
C: 0.3288 0.0000 0.4287
C: 0.4868 0.5000 0.3921

***

Copy entry 2 word for word.
The following is a DFT calculation (PBE) of B3C after structural relaxation.

Summary:
polymorph energy (0 for the lowest one)	72	meV per atom
formation enthalpy at 0 K	0.31	eV/atom

abc: 4.8198 2.7711 6.4548
angles: 90.00 93.24 90.00
Positions (direct):
B: 0.0000 0.0000 0.0000
B: 0.0116 0.5000 0.3908
B: 0.1253 0.5000 0.1501
B: 0.1760 0.0000 0.2763
B: 0.3996 0.0000 0.7204
B: 0.5510 0.0000 0.2670
B: 0.6239 0.5000 0.9232
B: 0.6645 0.5000 0.4472
B: 0.9358 0.5000 0.6658
C: 0.0787 0.0000 0.7579
C: 0.5638 0.5000 0.6760
C: 0.6525 0.0000 0.0369